(1)
Computed, not measured: a geometry-optimized MgZrAs2 structure at the GGA-PBE level of DFT.

The space group is R-3m (No. 166, hexagonal axes) and the conventional cell measures 3.8835, 3.8835 and 19.3812 Å, with angles of 90.00, 90.00 and 120.00 degrees. The asymmetric unit holds Mg at (0.0000, 0.0000, 0.0000), Zr at (0.0000, 0.0000, 0.5000) and As at (0.0000, 0.0000, 0.2492).

The formation energy from the elements is -0.792 eV/atom. The density of states at the Fermi level comes out at 0.6 states/eV/f.u.

(2)
Computed, not measured: a geometry-optimized MgZr2As structure at the GGA-PBE level of DFT.

The space group is Amm2 (No. 38) and the conventional cell measures 4.0758, 3.6822 and 10.6974 Å, with angles of 90.00, 90.00 and 90.00 degrees. The asymmetric unit holds Mg at (0.0000, 0.0000, 0.0000), Zr at (0.0000, 0.0000, 0.2703), Zr at (0.5000, 0.0000, 0.5781) and As at (0.5000, 0.0000, 0.8460).

The formation energy from the elements is -0.503 eV/atom. The density of states at the Fermi level comes out at 2.2 states/eV/f.u. The value obtained for the energy relative to the lowest polymorph listed for this composition is 0 meV per atom.

The highest density of states at the Fermi level belongs to which entry? MgZr2As